Entry 1:
This record from Alexandria describes a relaxed structure of LiPdCl. The functional is PBE.

Geometry as POSCAR:
```
LiPdCl
1.0
3.3163 0.0000 0.0000
-0.7812 4.6063 0.0000
-0.4274 -1.6966 6.7398
Li Pd Cl
2 2 2
direct
0.0000 0.0000 0.0000
0.0009 0.0087 0.5029
0.3893 0.6364 0.1889
0.6091 0.3698 0.8174
0.4857 0.8289 0.7221
0.5140 0.1758 0.2781
```

Values from the calculation:
- E (eV per atom) = -3.64
- raw formation energy (eV/atom) = -0.657
- V (Å³/cell) = 103.0
- magnetic moment (μB per formula unit) = 0.000



Entry 2:
This record from Alexandria describes a relaxed structure of Li3Pd5Cl12. The functional is PBE.

Geometry as POSCAR:
```
Li3Pd5Cl12
1.0
-7.8703 7.8703 7.8703
7.8703 -7.8703 7.8703
7.8703 7.8703 -7.8703
Li Pd Cl
12 20 48
direct
0.1250 0.2500 0.3750
0.1250 0.3750 0.7500
0.2500 0.3750 0.1250
0.2500 0.8750 0.6250
0.3750 0.1250 0.2500
0.3750 0.7500 0.1250
0.6250 0.2500 0.8750
0.6250 0.8750 0.7500
0.7500 0.1250 0.3750
0.7500 0.6250 0.8750
0.8750 0.6250 0.2500
0.8750 0.7500 0.6250
0.0000 0.0000 0.0000
0.0000 0.0000 0.5000
0.0000 0.5000 0.0000
0.0000 0.5000 0.5000
0.1250 0.7500 0.8750
0.1250 0.8750 0.2500
0.2500 0.1250 0.8750
0.2500 0.6250 0.3750
0.3750 0.2500 0.6250
0.3750 0.6250 0.7500
0.5000 0.0000 0.0000
0.5000 0.0000 0.5000
0.5000 0.5000 0.0000
0.5000 0.5000 0.5000
0.6250 0.3750 0.2500
0.6250 0.7500 0.3750
0.7500 0.3750 0.6250
0.7500 0.8750 0.1250
0.8750 0.1250 0.7500
0.8750 0.2500 0.1250
0.0184 0.1821 0.1423
0.0184 0.3363 0.8761
0.0398 0.6821 0.6637
0.0398 0.8577 0.3761
0.1239 0.6423 0.4602
0.1239 0.9816 0.6637
0.1423 0.0184 0.1821
0.1423 0.6239 0.9602
0.1637 0.1821 0.5398
0.1637 0.4816 0.6239
0.1821 0.1423 0.0184
0.1821 0.5398 0.1637
0.3179 0.3363 0.9602
0.3179 0.4816 0.3577
0.3363 0.8761 0.0184
0.3363 0.9602 0.3179
0.3577 0.3179 0.4816
0.3577 0.5398 0.8761
0.3761 0.0398 0.8577
0.3761 0.8363 0.5184
0.4602 0.1239 0.6423
0.4602 0.8363 0.8179
0.4816 0.3577 0.3179
0.4816 0.6239 0.1637
0.5184 0.3761 0.8363
0.5184 0.6423 0.6821
0.5398 0.1637 0.1821
0.5398 0.8761 0.3577
0.6239 0.1637 0.4816
0.6239 0.9602 0.1423
0.6423 0.4602 0.1239
0.6423 0.6821 0.5184
0.6637 0.0398 0.6821
0.6637 0.1239 0.9816
0.6821 0.5184 0.6423
0.6821 0.6637 0.0398
0.8179 0.4602 0.8363
0.8179 0.8577 0.9816
0.8363 0.5184 0.3761
0.8363 0.8179 0.4602
0.8577 0.3761 0.0398
0.8577 0.9816 0.8179
0.8761 0.0184 0.3363
0.8761 0.3577 0.5398
0.9602 0.1423 0.6239
0.9602 0.3179 0.3363
0.9816 0.6637 0.1239
0.9816 0.8179 0.8577
```

Values from the calculation:
- E (eV per atom) = -3.34
- raw formation energy (eV/atom) = -0.648
- V (Å³/cell) = 1950.0
- magnetic moment (μB per formula unit) = 0.981



Entry 3:
This record from Alexandria describes a relaxed structure of LiPdCl. The functional is PBE.

Geometry as POSCAR:
```
LiPdCl
1.0
10.6795 0.0000 0.0000
0.0000 1.6122 2.9729
0.0000 -1.6122 2.9729
Li Pd Cl
2 2 2
direct
0.1827 0.0000 0.0000
0.8173 0.0000 0.0000
0.0000 0.6812 0.6812
0.5000 0.8185 0.8185
0.3153 0.3156 0.3156
0.6847 0.3156 0.3156
```

Values from the calculation:
- E (eV per atom) = -3.53
- raw formation energy (eV/atom) = -0.542
- V (Å³/cell) = 102.4
- magnetic moment (μB per formula unit) = 0.428



Entry 4:
This record from Alexandria describes a relaxed structure of Li2Pd2Cl7. The functional is PBE.

Geometry as POSCAR:
```
Li2Pd2Cl7
1.0
3.7712 -5.4852 0.0000
3.7712 5.4852 0.0000
-0.3654 0.0000 7.2985
Li Pd Cl
2 2 7
direct
0.2412 0.7588 0.0000
0.7588 0.2412 0.0000
0.2994 0.2994 0.6205
0.7006 0.7006 0.3795
0.0000 0.0000 0.5000
0.0981 0.4064 0.8558
0.3904 0.3904 0.3086
0.4064 0.0981 0.8558
0.5936 0.9019 0.1442
0.6096 0.6096 0.6914
0.9019 0.5936 0.1442
```

Values from the calculation:
- E (eV per atom) = -3.23
- raw formation energy (eV/atom) = -0.765
- V (Å³/cell) = 301.9
- magnetic moment (μB per formula unit) = 0.593



Entry 5:
This record from Alexandria describes a relaxed structure of LiPdCl3. The functional is PBE.

Geometry as POSCAR:
```
LiPdCl3
1.0
3.6382 -5.6829 0.0000
3.6382 5.6829 0.0000
-2.7556 0.0000 5.4010
Li Pd Cl
2 2 6
direct
0.1786 0.8214 0.0000
0.8214 0.1786 0.0000
0.4204 0.4204 0.7586
0.5796 0.5796 0.2414
0.0650 0.3901 0.7846
0.2543 0.2543 0.2964
0.3901 0.0650 0.7846
0.6099 0.9350 0.2154
0.7457 0.7457 0.7036
0.9350 0.6099 0.2154
```

Values from the calculation:
- E (eV per atom) = -3.30
- raw formation energy (eV/atom) = -0.770
- V (Å³/cell) = 223.3
- magnetic moment (μB per formula unit) = 0.996



Entry 6:
This record from Alexandria describes a relaxed structure of LiPd2Cl2. The functional is PBE.

Geometry as POSCAR:
```
LiPd2Cl2
1.0
-2.5061 2.5061 3.9649
2.5061 -2.5061 3.9649
2.5061 2.5061 -3.9649
Li Pd Cl
1 2 2
direct
0.0000 0.0000 0.0000
0.3112 0.3112 0.0000
0.6888 0.6888 0.0000
0.2500 0.7500 0.5000
0.7500 0.2500 0.5000
```

Values from the calculation:
- E (eV per atom) = -3.48
- raw formation energy (eV/atom) = -0.280
- V (Å³/cell) = 99.6
- magnetic moment (μB per formula unit) = 0.000



Entry 7:
This record from Alexandria describes a relaxed structure of Li2Pd2Cl7. The functional is PBE.

Geometry as POSCAR:
```
Li2Pd2Cl7
1.0
3.2049 -5.5991 0.0000
3.2049 5.5991 0.0000
-2.6347 0.0000 9.7172
Li Pd Cl
2 2 7
direct
0.1811 0.1811 0.2174
0.8189 0.8189 0.7826
0.3341 0.6659 0.5000
0.6659 0.3341 0.5000
0.0000 0.0000 0.0000
0.0434 0.6894 0.6411
0.3106 0.9566 0.3589
0.4293 0.4293 0.6503
0.5707 0.5707 0.3497
0.6894 0.0434 0.6411
0.9566 0.3106 0.3589
```

Values from the calculation:
- E (eV per atom) = -3.26
- raw formation energy (eV/atom) = -0.796
- V (Å³/cell) = 348.7
- magnetic moment (μB per formula unit) = 3.069



Entry 8:
This record from Alexandria describes a relaxed structure of LiPdCl. The functional is PBE.

Geometry as POSCAR:
```
LiPdCl
1.0
0.0000 2.9972 2.9972
2.9972 0.0000 2.9972
2.9972 2.9972 0.0000
Li Pd Cl
1 1 1
direct
0.0000 0.0000 0.0000
0.5000 0.5000 0.5000
0.2500 0.2500 0.2500
```

Values from the calculation:
- E (eV per atom) = -3.42
- raw formation energy (eV/atom) = -0.433
- V (Å³/cell) = 53.8
- magnetic moment (μB per formula unit) = 0.000



Entry 9:
This record from Alexandria describes a relaxed structure of LiPdCl. The functional is PBE.

Geometry as POSCAR:
```
LiPdCl
1.0
4.2399 0.0000 0.0000
-2.1199 3.6718 0.0000
0.0000 0.0000 6.9530
Li Pd Cl
2 2 2
direct
0.0000 0.0000 0.0000
0.0000 0.0000 0.5000
0.3333 0.6667 0.2500
0.6667 0.3333 0.7500
0.3333 0.6667 0.7500
0.6667 0.3333 0.2500
```

Values from the calculation:
- E (eV per atom) = -3.43
- raw formation energy (eV/atom) = -0.441
- V (Å³/cell) = 108.2
- magnetic moment (μB per formula unit) = 0.000



Entry 10:
This record from Alexandria describes a relaxed structure of Li3PdCl6. The functional is PBE.

Geometry as POSCAR:
```
Li3PdCl6
1.0
6.3617 0.0000 0.0000
0.0000 6.5008 0.0000
-5.8725 0.0000 9.7596
Li Pd Cl
6 2 12
direct
0.0000 0.0000 0.0000
0.0000 0.5000 0.5000
0.2369 0.0529 0.7482
0.2369 0.4471 0.2482
0.7631 0.5529 0.7518
0.7631 0.9471 0.2518
0.5000 0.0000 0.5000
0.5000 0.5000 0.0000
0.1200 0.0812 0.2522
0.1200 0.4188 0.7522
0.2568 0.6708 0.0721
0.2568 0.8292 0.5721
0.4143 0.1892 0.0727
0.4143 0.3108 0.5727
0.5857 0.6892 0.4273
0.5857 0.8108 0.9273
0.7432 0.1708 0.4279
0.7432 0.3292 0.9279
0.8800 0.5812 0.2478
0.8800 0.9188 0.7478
```

Values from the calculation:
- E (eV per atom) = -3.37
- raw formation energy (eV/atom) = -1.173
- V (Å³/cell) = 403.6
- magnetic moment (μB per formula unit) = 1.010



Entry 11:
This record from Alexandria describes a relaxed structure of LiPdCl3. The functional is PBE.

Geometry as POSCAR:
```
LiPdCl3
1.0
6.4833 -4.9824 0.0000
6.4833 4.9824 0.0000
-1.0258 0.0000 3.6014
Li Pd Cl
2 2 6
direct
0.0000 0.0000 0.0000
0.7008 0.7008 0.6797
0.1765 0.5247 0.3405
0.5247 0.1765 0.3405
0.1508 0.8187 0.4829
0.2234 0.2234 0.2028
0.4779 0.4779 0.4796
0.5509 0.8827 0.1970
0.8187 0.1508 0.4829
0.8827 0.5509 0.1970
```

Values from the calculation:
- E (eV per atom) = -3.47
- raw formation energy (eV/atom) = -0.937
- V (Å³/cell) = 232.7
- magnetic moment (μB per formula unit) = 0.000



Entry 12:
This record from Alexandria describes a relaxed structure of LiPdCl. The functional is PBE.

Geometry as POSCAR:
```
LiPdCl
1.0
4.2519 0.0000 0.0000
-2.1260 3.6823 0.0000
0.0000 0.0000 3.3374
Li Pd Cl
1 1 1
direct
0.0000 0.0000 0.0000
0.6667 0.3333 0.5000
0.3333 0.6667 0.5000
```

Values from the calculation:
- E (eV per atom) = -3.48
- raw formation energy (eV/atom) = -0.497
- V (Å³/cell) = 52.3
- magnetic moment (μB per formula unit) = 0.000



Entry 13:
This record from Alexandria describes a relaxed structure of LiPd2Cl2. The functional is PBE.

Geometry as POSCAR:
```
LiPd2Cl2
1.0
6.9040 0.0000 0.0000
0.0000 6.9040 0.0000
0.0000 0.0000 4.4576
Li Pd Cl
2 4 4
direct
0.0000 0.0000 0.0000
0.5000 0.5000 0.0000
0.1366 0.3634 0.0000
0.3634 0.8634 0.0000
0.6366 0.1366 0.0000
0.8634 0.6366 0.0000
0.1947 0.3053 0.5000
0.3053 0.8053 0.5000
0.6947 0.1947 0.5000
0.8053 0.6947 0.5000
```

Values from the calculation:
- E (eV per atom) = -3.52
- raw formation energy (eV/atom) = -0.319
- V (Å³/cell) = 212.5
- magnetic moment (μB per formula unit) = 0.000



Entry 14:
This record from Alexandria describes a relaxed structure of LiPdCl. The functional is PBE.

Geometry as POSCAR:
```
LiPdCl
1.0
3.4052 0.0000 0.0000
-0.0002 3.4055 0.0000
-0.2785 -0.1871 10.1537
Li Pd Cl
2 2 2
direct
0.0000 0.0000 0.0000
0.4796 0.4854 0.7661
0.4846 0.4958 0.3350
0.9931 0.0015 0.4312
0.5016 0.5008 0.0193
0.9780 0.9846 0.7467
```

Values from the calculation:
- E (eV per atom) = -3.82
- raw formation energy (eV/atom) = -0.834
- V (Å³/cell) = 117.7
- magnetic moment (μB per formula unit) = 0.000



Entry 15:
This record from Alexandria describes a relaxed structure of LiPdCl. The functional is PBE.

Geometry as POSCAR:
```
LiPdCl
1.0
1.9663 -8.4294 0.0000
1.9663 8.4294 0.0000
0.0000 0.0000 3.7090
Li Pd Cl
2 2 2
direct
0.0748 0.9252 0.7500
0.9252 0.0748 0.2500
0.4454 0.5546 0.7500
0.5546 0.4454 0.2500
0.3470 0.6530 0.2500
0.6530 0.3470 0.7500
```

Values from the calculation:
- E (eV per atom) = -3.77
- raw formation energy (eV/atom) = -0.788
- V (Å³/cell) = 123.0
- magnetic moment (μB per formula unit) = 0.000



Entry 16:
This record from Alexandria describes a relaxed structure of LiPdCl. The functional is PBE.

Geometry as POSCAR:
```
LiPdCl
1.0
4.7826 -3.4035 0.0000
4.7826 3.4035 0.0000
-1.1874 0.0000 3.1799
Li Pd Cl
2 2 2
direct
0.1914 0.1914 0.4431
0.8086 0.8086 0.5569
0.3225 0.6775 0.5000
0.6827 0.3173 0.0000
0.0008 0.5004 0.0138
0.4996 0.9992 0.9862
```

Values from the calculation:
- E (eV per atom) = -3.64
- raw formation energy (eV/atom) = -0.652
- V (Å³/cell) = 103.5
- magnetic moment (μB per formula unit) = 0.000



Entry 17:
This record from Alexandria describes a relaxed structure of LiPdCl. The functional is PBE.

Geometry as POSCAR:
```
LiPdCl
1.0
3.3289 0.0000 0.0000
0.0000 3.3289 0.0000
0.0000 0.0000 9.6307
Li Pd Cl
2 2 2
direct
0.2500 0.2500 0.2318
0.7500 0.7500 0.7682
0.2500 0.2500 0.5729
0.7500 0.7500 0.4271
0.2500 0.2500 0.8321
0.7500 0.7500 0.1679
```

Values from the calculation:
- E (eV per atom) = -3.81
- raw formation energy (eV/atom) = -0.827
- V (Å³/cell) = 106.7
- magnetic moment (μB per formula unit) = 0.205



Entry 18:
This record from Alexandria describes a relaxed structure of LiPdCl. The functional is PBE.

Geometry as POSCAR:
```
LiPdCl
1.0
3.3673 0.0000 0.0000
0.0003 3.3690 0.0000
0.0454 0.2937 9.7739
Li Pd Cl
2 2 2
direct
0.0000 0.0000 0.0000
0.4960 0.4705 0.3287
0.4923 0.4603 0.6709
0.9941 0.9720 0.5628
0.5008 0.5046 0.9460
0.9966 0.9756 0.2538
```

Values from the calculation:
- E (eV per atom) = -3.82
- raw formation energy (eV/atom) = -0.838
- V (Å³/cell) = 110.9
- magnetic moment (μB per formula unit) = 0.000



Entry 19:
This record from Alexandria describes a relaxed structure of LiPdCl. The functional is PBE.

Geometry as POSCAR:
```
LiPdCl
1.0
4.4299 0.0000 0.0000
0.0000 4.4299 0.0000
0.0000 0.0000 5.5353
Li Pd Cl
2 2 2
direct
0.2500 0.2500 0.1263
0.7500 0.7500 0.8737
0.2500 0.2500 0.5840
0.7500 0.7500 0.4160
0.2500 0.7500 0.0000
0.7500 0.2500 0.0000
```

Values from the calculation:
- E (eV per atom) = -3.36
- raw formation energy (eV/atom) = -0.376
- V (Å³/cell) = 108.6
- magnetic moment (μB per formula unit) = 0.000



Entry 20:
This record from Alexandria describes a relaxed structure of LiPd2Cl. The functional is PBE.

Geometry as POSCAR:
```
LiPd2Cl
1.0
0.0000 3.1462 3.1462
3.1462 0.0000 3.1462
3.1462 3.1462 0.0000
Li Pd Cl
1 2 1
direct
0.0000 0.0000 0.0000
0.2500 0.2500 0.2500
0.7500 0.7500 0.7500
0.5000 0.5000 0.5000
```

Values from the calculation:
- E (eV per atom) = -3.52
- raw formation energy (eV/atom) = 0.013
- V (Å³/cell) = 62.3
- magnetic moment (μB per formula unit) = 0.000